[1]
LaPm5Y2Tm PBE-GGA optimized geometry; density of states at the Fermi level = 1.62 states/eV per atom; theoretical density = 6.52 Mg/m³; formation energy from the elements = 0.148 eV per atom; space-group type = No. 36
1.0
2.8657 -10.0901 0.0000
2.8657 10.0901 0.0000
0.0000 0.0000 10.6593
La Pm Y Tm
2 10 4 2
direct
0.0840 0.9160 0.5000
0.9160 0.0840 0.0000
0.0186 0.9814 0.7867
0.1149 0.8851 0.0678
0.2033 0.7967 0.7515
0.2187 0.7813 0.3600
0.4814 0.5186 0.0685
0.5186 0.4814 0.5685
0.7813 0.2187 0.8600
0.7967 0.2033 0.2515
0.8851 0.1149 0.5678
0.9814 0.0186 0.2867
0.3849 0.6151 0.3649
0.3866 0.6134 0.7776
0.6134 0.3866 0.2776
0.6151 0.3849 0.8649
0.2993 0.7007 0.0563
0.7007 0.2993 0.5563

***

[2]
LiMo2Cl PBE-GGA optimized geometry; density of states at the Fermi level = 0.55 states/eV per atom; theoretical density = 5.54 Mg/m³; space-group type = No. 47; formation energy (no corrections) = 0.6485 eV per atom
1.0
2.9313 0.0000 0.0000
0.0000 4.8090 0.0000
0.0000 0.0000 4.9800
Li Mo Cl
1 2 1
direct
0.0000 0.0000 0.0000
0.5000 0.5000 0.2163
0.5000 0.5000 0.7837
0.0000 0.0000 0.5000

***

[3]
ScSn2Br PBE-GGA optimized geometry; density of states at the Fermi level = 0.36 states/eV per atom; theoretical density = 3.82 Mg/m³; space-group type = No. 122; formation energy (no corrections) = 0.3389 eV per atom
1.0
-3.4440 3.4440 6.6422
3.4440 -3.4440 6.6422
3.4440 3.4440 -6.6422
Sc Sn Br
2 4 2
direct
0.0000 0.0000 0.0000
0.7500 0.2500 0.5000
0.1155 0.6250 0.9905
0.3750 0.3655 0.4905
0.6345 0.1250 0.0095
0.8750 0.8845 0.5095
0.2500 0.7500 0.5000
0.5000 0.5000 0.0000